a | An optimized crystal structure of TcAg2Cl2, computed with PBE.

It has space group P4/mbm (No. 127), with a = 6.3295 Å, b = 6.3295 Å, c = 5.1252 Å, α = 90.00°, β = 90.00° and γ = 90.00°. Symmetry generates all atoms from Tc at (0.0000, 0.0000, 0.0000), Ag at (0.2375, 0.2625, 0.5000) and Cl at (0.1687, 0.3313, 0.0000).

Its magnetization is 1.2 μB per formula unit.


b | An optimized crystal structure of TcAg2Cl2, computed with PBE.

It has space group I4/mmm (No. 139), with a = 4.4205 Å, b = 4.4205 Å, c = 11.4575 Å, α = 90.00°, β = 90.00° and γ = 90.00°. Symmetry generates all atoms from Tc at (0.0000, 0.0000, 0.0000), Ag at (0.0000, 0.0000, 0.3859) and Cl at (0.0000, 0.5000, 0.2500).

Its magnetization is 4.7 μB per formula unit.


c | An optimized crystal structure of TcAg2Cl2, computed with PBE.

It has space group I4/mmm (No. 139), with a = 3.6534 Å, b = 3.6534 Å, c = 19.2699 Å, α = 90.00°, β = 90.00° and γ = 90.00°. Symmetry generates all atoms from Tc at (0.0000, 0.0000, 0.0000), Ag at (0.0000, 0.5000, 0.2500) and Cl at (0.0000, 0.0000, 0.4202).

Its magnetization is 4.7 μB per formula unit.


d | An optimized crystal structure of TcAg2Cl2, computed with PBE.

It has space group P4/mbm (No. 127), with a = 7.5768 Å, b = 7.5768 Å, c = 3.5784 Å, α = 90.00°, β = 90.00° and γ = 90.00°. Symmetry generates all atoms from Tc at (0.0000, 0.0000, 0.0000), Ag at (0.1342, 0.3658, 0.0000) and Cl at (0.1707, 0.6707, 0.5000).

Its magnetization is 3.7 μB per formula unit.


Ranked by calculated energy, most stable first: a, c, d, b.